(1)
AgRuSe2: optimized geometry, GGA-PBE.

Cell: 3.1142 3.1142 7.3712 Å, 90.00 90.00 90.00°
Site moments in Bohr magnetons follow the coordinates.
Element x y z (fractional)
Ru  0.5000  0.5000  0.7500  0.36
Se  0.0000  0.0000  0.9586  0.00
Se  0.0000  0.0000  0.5414  0.00
Ag  0.5000  0.5000  0.2500  0.00

Values from the calculation:
Distance to the lowest polymorph of the same formula in meV/atom: 246
Formation energy without anion corrections in kcal/mol of atoms: 3.6

(2)
AlTcAu2: optimized geometry, GGA-PBE.

Cell: 3.7822 3.7822 10.2081 Å, 79.32 79.32 90.00°
Element x y z (fractional)
Au  0.6249  0.1250  0.2500
Au  0.8750  0.8749  0.7500
Au  0.1251  0.6250  0.2500
Au  0.3750  0.3751  0.7500
Tc  0.0000  0.0000  0.0000
Tc  0.7500  0.2500  0.5000
Al  0.5000  0.5000  0.0000
Al  0.2500  0.7500  0.5000

Values from the calculation:
ΔE_f in kJ per mole of atoms: 30

(3)
TbLuTiCd: optimized geometry, GGA-PBE.

Cell: 5.1941 5.1941 5.1941 Å, 60.00 60.00 60.00°
Site moments in Bohr magnetons follow the coordinates.
Element x y z (fractional)
Ti  0.7500  0.7500  0.7500  -1.49
Lu  0.0000  0.0000  0.0000  -0.28
Tb  0.5000  0.5000  0.5000  -0.25
Cd  0.2500  0.2500  0.2500  0.02

Values from the calculation:
ΔE_f in kJ per mole of atoms: 5